Run one
Material: BeCd2P
Method: DFT, PBE
State: relaxed

abc: 5.2227 5.2227 5.2227
angles: 134.61 134.61 66.14
With the nearest neighbours (Å) after each atom.
Atoms (fractional coordinates):
Cd1 0.0000 0.0000 0.0000  4 P 2.85, 4 Cd 2.97, 4 Be 2.97
Cd2 0.2500 0.7500 0.5000  4 Be 2.85, 4 Cd 2.97, 4 P 2.97
P1 0.5000 0.5000 0.0000  8 Cd 2.85-2.97, 4 Be 2.97
Be1 0.7500 0.2500 0.5000  8 Cd 2.85-2.97, 4 P 2.97

Run two
Material: BeCd2P
Method: DFT, PBE
State: relaxed

abc: 4.2632 4.2632 8.9981
angles: 76.30 76.30 90.00
With the nearest neighbours (Å) after each atom.
Atoms (fractional coordinates):
Cd1 0.3750 0.4032 0.7500  2 Be 2.55, 2 P 2.65, 2 Cd 2.85
Cd2 0.5968 0.1250 0.2500  2 Be 2.55, 2 P 2.65, 2 Cd 2.85
Cd3 0.8750 0.8468 0.7500  2 Be 2.55, 2 P 2.65, 2 Cd 2.85
Cd4 0.1532 0.6250 0.2500  2 Be 2.55, 2 P 2.65, 2 Cd 2.85
Be1 0.2500 0.7500 0.5000  4 Cd 2.55
Be2 0.5000 0.5000 0.0000  4 Cd 2.55
P1 0.0000 0.0000 0.0000  4 Cd 2.65
P2 0.7500 0.2500 0.5000  4 Cd 2.65

Run three
Material: BeCd2P
Method: DFT, PBE
State: relaxed

abc: 2.6737 3.5447 7.5263
angles: 90.00 90.00 90.00
With the nearest neighbours (Å) after each atom.
Atoms (fractional coordinates):
P1 0.5000 0.5000 0.2500  2 P 2.67
Be1 0.5000 0.5000 0.7500  2 Be 2.67, 8 Cd 2.79
Cd1 0.0000 0.0000 0.5248  2 Cd 2.67, 4 Be 2.79
Cd2 0.0000 0.0000 0.9752  2 Cd 2.67, 4 Be 2.79

Run four
Material: BeCd2P
Method: DFT, PBE
State: relaxed

abc: 2.8261 3.4311 7.9693
angles: 90.00 90.00 90.00
With the nearest neighbours (Å) after each atom.
Atoms (fractional coordinates):
Cd1 0.0000 0.0000 0.9880  1 P 2.62, 2 Cd 2.83
Cd2 0.5000 0.5000 0.2643  1 Be 2.58, 2 Cd 2.83
P1 0.0000 0.0000 0.6593  4 Be 2.29
Be1 0.5000 0.5000 0.5884  4 P 2.29

Compare the structures above. Which one is the least stable? run one is.